# 1
The following is a DFT calculation (PBE-GGA) of a relaxed structure of ZnSn2PdPb.

Cell lengths 5.8327, 5.8327, 5.1586 Å; angles 90.00, 90.00, 90.00 degrees
Space group P4/mmm (No. 123)
One atom of each set of equivalent atoms:
Zn 0.0000 0.0000 0.0000 (multiplicity 1)
Sn 0.0000 0.5000 0.5000 (multiplicity 2)
Pd 0.5000 0.5000 0.0000 (multiplicity 1)
Pb 0.5000 0.5000 0.5000 (multiplicity 1)

=====

# 2
The following is a DFT calculation (PBE-GGA) of a relaxed structure of SrPd12Pb6.

Cell lengths 12.2192, 12.2192, 9.3300 Å; angles 90.00, 90.00, 120.00 degrees
Space group R-3m (No. 166, hexagonal axes)
One atom of each set of equivalent atoms:
Sr 0.0000 0.0000 0.0000 (multiplicity 3)
Pd 0.0000 0.3872 0.5000 (multiplicity 18)
Pd 0.0818 0.1637 0.2915 (multiplicity 18)
Pb 0.0511 0.5256 0.2481 (multiplicity 18)

=====

# 3
The following is a DFT calculation (PBE-GGA) of a relaxed structure of SrPd4Pb.

Cell lengths 7.8176, 7.8176, 7.8176 Å; angles 90.00, 90.00, 90.00 degrees
Space group F-43m (No. 216)
One atom of each set of equivalent atoms:
Sr 0.0000 0.0000 0.0000 (multiplicity 4)
Pd 0.1244 0.1244 0.3756 (multiplicity 16)
Pb 0.2500 0.2500 0.7500 (multiplicity 4)

Results
Energy relative to the lowest polymorph listed for this composition = 0.000 eV per atom

=====

# 4
The following is a DFT calculation (PBE-GGA) of a relaxed structure of Sr2PdPb.

Cell lengths 8.7253, 8.7253, 6.9471 Å; angles 90.00, 90.00, 90.00 degrees
Space group I-42d (No. 122)
One atom of each set of equivalent atoms:
Sr 0.2019 0.7500 0.1250 (multiplicity 8)
Pd 0.0000 0.0000 0.0000 (multiplicity 4)
Pb 0.0000 0.0000 0.5000 (multiplicity 4)

=====

# 5
The following is a DFT calculation (PBE-GGA) of a relaxed structure of Sr2Pd7Pb12.

Cell lengths 11.7132, 11.7132, 4.5290 Å; angles 90.00, 90.00, 120.00 degrees
Space group P-6 (No. 174)
One atom of each set of equivalent atoms:
Sr 0.0000 0.0000 0.0000 (multiplicity 1)
Sr 0.3333 0.6667 0.5000 (multiplicity 1)
Pd 0.0862 0.4499 0.0000 (multiplicity 3)
Pd 0.2590 0.2159 0.5000 (multiplicity 3)
Pd 0.6667 0.3333 0.0000 (multiplicity 1)
Pb 0.0575 0.2808 0.5000 (multiplicity 3)
Pb 0.1004 0.6974 0.0000 (multiplicity 3)
Pb 0.3855 0.1743 0.0000 (multiplicity 3)
Pb 0.5440 0.4304 0.5000 (multiplicity 3)

=====

# 6
The following is a DFT calculation (PBE-GGA) of a relaxed structure of SrPd8Pb2.

Cell lengths 5.4151, 5.4151, 9.0677 Å; angles 90.00, 90.00, 90.00 degrees
Space group P4/mmm (No. 123)
One atom of each set of equivalent atoms:
Sr 0.0000 0.0000 0.0000 (multiplicity 1)
Pd 0.2526 0.2526 0.2739 (multiplicity 8)
Pb 0.0000 0.5000 0.5000 (multiplicity 2)

=====

# 7
The following is a DFT calculation (PBE-GGA) of a relaxed structure of SrPd6Pb6.

Cell lengths 5.9113, 9.4424, 10.2578 Å; angles 90.00, 90.00, 90.00 degrees
Space group Immm (No. 71)
One atom of each set of equivalent atoms:
Sr 0.0000 0.0000 0.0000 (multiplicity 2)
Pd 0.0000 0.2603 0.5000 (multiplicity 4)
Pd 0.2500 0.2500 0.2500 (multiplicity 8)
Pb 0.0000 0.0000 0.3411 (multiplicity 4)
Pb 0.0000 0.3389 0.0000 (multiplicity 4)
Pb 0.0000 0.5000 0.3248 (multiplicity 4)

=====

# 8
The following is a DFT calculation (PBE-GGA) of a relaxed structure of SrPdPb.

Cell lengths 4.8346, 4.8346, 4.1389 Å; angles 90.00, 90.00, 120.00 degrees
Space group P-6m2 (No. 187)
One atom of each set of equivalent atoms:
Sr 0.0000 0.0000 0.0000 (multiplicity 1)
Pd 0.3333 0.6667 0.5000 (multiplicity 1)
Pb 0.6667 0.3333 0.5000 (multiplicity 1)

=====

# 9
The following is a DFT calculation (PBE-GGA) of a relaxed structure of Sr2Pd5Pb3.

Cell lengths 11.2756, 13.2748, 6.4700 Å; angles 90.00, 90.00, 90.00 degrees
Space group Ibam (No. 72)
One atom of each set of equivalent atoms:
Sr 0.2327 0.1288 0.0000 (multiplicity 8)
Pd 0.0000 0.0000 0.2500 (multiplicity 4)
Pd 0.0000 0.2881 0.2500 (multiplicity 8)
Pd 0.1645 0.3906 0.0000 (multiplicity 8)
Pb 0.0000 0.5000 0.2500 (multiplicity 4)
Pb 0.1004 0.1445 0.5000 (multiplicity 8)

Results
Energy relative to the lowest polymorph listed for this composition = 0.000 eV per atom

=====

# 10
The following is a DFT calculation (PBE-GGA) of a relaxed structure of SrPdPb.

Cell lengths 3.7961, 3.7961, 11.2380 Å; angles 90.00, 90.00, 90.00 degrees
Space group I4mm (No. 107)
One atom of each set of equivalent atoms:
Sr 0.0000 0.0000 0.0000 (multiplicity 2)
Pd 0.0000 0.0000 0.6903 (multiplicity 2)
Pb 0.0000 0.0000 0.2937 (multiplicity 2)

=====

# 11
The following is a DFT calculation (PBE-GGA) of a relaxed structure of SrPd2Pb3.

Cell lengths 18.6480, 4.6905, 11.7001 Å; angles 90.00, 111.33, 90.00 degrees
Space group C2/m (No. 12)
One atom of each set of equivalent atoms:
Sr 0.0000 0.0000 0.0000 (multiplicity 2)
Sr 0.1617 0.0000 0.6948 (multiplicity 4)
Pd 0.0273 0.5000 0.7921 (multiplicity 4)
Pd 0.1337 0.5000 0.4413 (multiplicity 4)
Pd 0.1974 0.0000 0.1277 (multiplicity 4)
Pb 0.0000 0.5000 0.5000 (multiplicity 2)
Pb 0.0337 0.0000 0.3345 (multiplicity 4)
Pb 0.1228 0.5000 0.1859 (multiplicity 4)
Pb 0.1784 0.5000 0.9566 (multiplicity 4)
Pb 0.2158 0.0000 0.3855 (multiplicity 4)

Results
Energy relative to the lowest polymorph listed for this composition = 0.000 eV per atom

=====

# 12
The following is a DFT calculation (PBE-GGA) of a relaxed structure of SrPd5Pb3.

Cell lengths 4.1909, 14.3439, 13.7945 Å; angles 90.00, 90.00, 90.00 degrees
Space group Cmcm (No. 63)
One atom of each set of equivalent atoms:
Sr 0.0000 0.0969 0.2500 (multiplicity 4)
Pd 0.0000 0.0000 0.0000 (multiplicity 4)
Pd 0.0000 0.1929 0.5565 (multiplicity 8)
Pd 0.0000 0.4406 0.1445 (multiplicity 8)
Pb 0.0000 0.1482 0.7500 (multiplicity 4)
Pb 0.0000 0.3807 0.5536 (multiplicity 8)

=====

# 13
The following is a DFT calculation (PBE-GGA) of a relaxed structure of Sr2Pd5Pb3.

Cell lengths 4.5297, 27.0051, 7.5809 Å; angles 90.00, 90.00, 90.00 degrees
Space group Cmc2_1 (No. 36)
One atom of each set of equivalent atoms:
Sr 0.0000 0.0173 0.0000 (multiplicity 4)
Sr 0.0000 0.3215 0.8907 (multiplicity 4)
Pd 0.0000 0.1085 0.2200 (multiplicity 4)
Pd 0.0000 0.2054 0.0797 (multiplicity 4)
Pd 0.0000 0.2232 0.6535 (multiplicity 4)
Pd 0.0000 0.3798 0.4967 (multiplicity 4)
Pd 0.0000 0.4496 0.2048 (multiplicity 4)
Pb 0.0000 0.1204 0.7426 (multiplicity 4)
Pb 0.0000 0.2831 0.3589 (multiplicity 4)
Pb 0.0000 0.4447 0.8153 (multiplicity 4)

Results
Energy relative to the lowest polymorph listed for this composition = 0.002 eV per atom

=====

# 14
The following is a DFT calculation (PBE-GGA) of a relaxed structure of Sr2Pd2Pb.

Cell lengths 3.8515, 3.8515, 19.2144 Å; angles 90.00, 90.00, 90.00 degrees
Space group I4/mmm (No. 139)
One atom of each set of equivalent atoms:
Sr 0.0000 0.0000 0.1223 (multiplicity 4)
Pd 0.0000 0.5000 0.2500 (multiplicity 4)
Pb 0.0000 0.0000 0.5000 (multiplicity 2)

=====

# 15
The following is a DFT calculation (PBE-GGA) of a relaxed structure of Sr2PdPb8.

Cell lengths 5.0260, 5.0260, 13.1939 Å; angles 90.00, 90.00, 90.00 degrees
Space group P4/mmm (No. 123)
One atom of each set of equivalent atoms:
Sr 0.0000 0.0000 0.1913 (multiplicity 2)
Pd 0.0000 0.0000 0.5000 (multiplicity 1)
Pb 0.0000 0.5000 0.0000 (multiplicity 2)
Pb 0.0000 0.5000 0.3783 (multiplicity 4)
Pb 0.5000 0.5000 0.1904 (multiplicity 2)

=====

# 16
The following is a DFT calculation (PBE-GGA) of a relaxed structure of SrPd3Pb2.

Cell lengths 17.5781, 4.4315, 10.9335 Å; angles 90.00, 98.71, 90.00 degrees
Space group C2/m (No. 12)
One atom of each set of equivalent atoms:
Sr 0.0000 0.0000 0.0000 (multiplicity 2)
Sr 0.1634 0.0000 0.7185 (multiplicity 4)
Pd 0.0000 0.5000 0.5000 (multiplicity 2)
Pd 0.0530 0.0000 0.3632 (multiplicity 4)
Pd 0.1332 0.5000 0.2056 (multiplicity 4)
Pd 0.1394 0.5000 0.9478 (multiplicity 4)
Pd 0.2135 0.0000 0.3507 (multiplicity 4)
Pb 0.0188 0.5000 0.7573 (multiplicity 4)
Pb 0.1561 0.5000 0.4669 (multiplicity 4)
Pb 0.2018 0.0000 0.0935 (multiplicity 4)

=====

# 17
The following is a DFT calculation (PBE-GGA) of a relaxed structure of SrPd4Pb2.

Cell lengths 8.2495, 8.2495, 4.4399 Å; angles 90.00, 90.00, 90.00 degrees
Space group P4_2/mnm (No. 136)
One atom of each set of equivalent atoms:
Sr 0.0000 0.0000 0.0000 (multiplicity 2)
Pd 0.0927 0.3531 0.5000 (multiplicity 8)
Pb 0.2173 0.7827 0.5000 (multiplicity 4)

Results
Energy relative to the lowest polymorph listed for this composition = 0.078 eV per atom

=====

# 18
The following is a DFT calculation (PBE-GGA) of a relaxed structure of Sr2Pd3Pb2.

Cell lengths 8.9134, 5.6063, 8.1143 Å; angles 90.00, 116.02, 90.00 degrees
Space group C2/m (No. 12)
One atom of each set of equivalent atoms:
Sr 0.0903 0.0000 0.3344 (multiplicity 4)
Pd 0.0000 0.5000 0.5000 (multiplicity 2)
Pd 0.1808 0.5000 0.2337 (multiplicity 4)
Pb 0.1648 0.5000 0.8851 (multiplicity 4)

Results
Energy relative to the lowest polymorph listed for this composition = 0.086 eV per atom

=====

# 19
The following is a DFT calculation (PBE-GGA) of a relaxed structure of SrPdPb.

Cell lengths 12.2566, 4.8300, 5.7967 Å; angles 90.00, 100.28, 90.00 degrees
Space group C2/m (No. 12)
One atom of each set of equivalent atoms:
Sr 0.1225 0.0000 0.3135 (multiplicity 4)
Pd 0.2064 0.0000 0.8584 (multiplicity 4)
Pb 0.0919 0.5000 0.8027 (multiplicity 4)

=====

# 20
The following is a DFT calculation (PBE-GGA) of a relaxed structure of Sr5Pd2Pb5.

Cell lengths 17.1493, 4.9601, 11.4805 Å; angles 90.00, 128.94, 90.00 degrees
Space group C2/m (No. 12)
One atom of each set of equivalent atoms:
Sr 0.0000 0.0000 0.0000 (multiplicity 2)
Sr 0.1303 0.0000 0.4348 (multiplicity 4)
Sr 0.1770 0.0000 0.8302 (multiplicity 4)
Pd 0.1527 0.5000 0.2440 (multiplicity 4)
Pb 0.0000 0.5000 0.5000 (multiplicity 2)
Pb 0.0401 0.5000 0.8304 (multiplicity 4)
Pb 0.2470 0.0000 0.2710 (multiplicity 4)

=====

Number 1: size of the total moment 0.0 μB per formula unit, energy of formation 768 meV per atom. Number 2: size of the total moment 0.0 μB per formula unit, energy of formation -193 meV per atom. Number 3: size of the total moment 0.0 μB per formula unit, energy of formation -443 meV per atom. Number 4: size of the total moment 0.0 μB per formula unit, energy of formation -267 meV per atom. Number 5: size of the total moment 0.0 μB per formula unit, energy of formation -293 meV per atom. Number 6: size of the total moment 0.0 μB per formula unit, energy of formation 33 meV per atom. Number 7: size of the total moment 0.0 μB per formula unit, energy of formation -318 meV per atom. Number 8: size of the total moment 0.0 μB per formula unit, energy of formation -556 meV per atom. Number 9: size of the total moment 0.0 μB per formula unit, energy of formation -461 meV per atom. Number 10: size of the total moment 0.0 μB per formula unit, energy of formation -442 meV per atom. Number 11: size of the total moment 0.0 μB per formula unit, energy of formation -376 meV per atom. Number 12: size of the total moment 0.0 μB per formula unit, energy of formation -328 meV per atom. Number 13: size of the total moment 0.0 μB per formula unit, energy of formation -458 meV per atom. Number 14: size of the total moment 0.0 μB per formula unit, energy of formation -426 meV per atom. Number 15: size of the total moment 0.0 μB per formula unit, energy of formation -295 meV per atom. Number 16: size of the total moment 0.0 μB per formula unit, energy of formation -425 meV per atom. Number 17: size of the total moment 0.0 μB per formula unit, energy of formation -370 meV per atom. Number 18: size of the total moment 0.0 μB per formula unit, energy of formation -426 meV per atom. Number 19: size of the total moment 0.0 μB per formula unit, energy of formation -602 meV per atom. Number 20: size of the total moment 0.0 μB per formula unit, energy of formation -506 meV per atom.